(1)
First-principles (PBE-GGA) data for a relaxed ErTm3Cd crystal, as listed in the Alexandria database.

Lattice parameters (Å, degrees): 6.630 6.630 12.518 94.06 94.06 31.26
Sites, in units of the cell vectors:
Er 0.234 0.234 0.257
Er 0.766 0.766 0.743
Tm 0.033 0.033 0.688
Tm 0.146 0.146 0.944
Tm 0.365 0.365 0.520
Tm 0.635 0.635 0.480
Tm 0.854 0.854 0.056
Tm 0.967 0.967 0.312
Cd 0.439 0.439 0.873
Cd 0.561 0.561 0.127

Computed properties:
Excess energy over the best structure of this formula in the dataset in eV/atom: 0.000
DOS(E_F) in states/eV/atom: 1.41
Density in kg/m3: 9172
E_form in eV per atom: -0.10

(2)
First-principles (PBE-GGA) data for a relaxed ErTm6Cd crystal, as listed in the Alexandria database.

Lattice parameters (Å, degrees): 6.198 6.198 6.198 94.48 94.48 94.48
Sites, in units of the cell vectors:
Er 0.000 0.000 0.000
Tm 0.048 0.541 0.258
Tm 0.258 0.048 0.541
Tm 0.459 0.742 0.952
Tm 0.541 0.258 0.048
Tm 0.742 0.952 0.459
Tm 0.952 0.459 0.742
Cd 0.500 0.500 0.500

Computed properties:
DOS(E_F) in states/eV/atom: 1.42
Density in kg/m3: 9108
E_form in eV per atom: 0.06

(3)
First-principles (PBE-GGA) data for a relaxed Er2TmCd2 crystal, as listed in the Alexandria database.

Lattice parameters (Å, degrees): 7.690 7.690 7.690 108.43 89.49 133.85
Sites, in units of the cell vectors:
Er 0.113 0.120 0.232
Er 0.387 0.620 0.007
Er 0.613 0.380 0.993
Er 0.887 0.880 0.768
Tm 0.250 0.750 0.500
Tm 0.750 0.250 0.500
Cd 0.148 0.770 0.918
Cd 0.352 0.270 0.623
Cd 0.648 0.730 0.377
Cd 0.852 0.230 0.082

Computed properties:
Excess energy over the best structure of this formula in the dataset in eV/atom: 0.321
DOS(E_F) in states/eV/atom: 0.99
Density in kg/m3: 8169
E_form in eV per atom: 0.07

(4)
First-principles (PBE-GGA) data for a relaxed ErTm2Cd6 crystal, as listed in the Alexandria database.

Lattice parameters (Å, degrees): 8.572 8.572 3.389 90.00 90.00 120.00
Sites, in units of the cell vectors:
Er 0.000 0.000 0.000
Tm 0.333 0.667 0.000
Tm 0.667 0.333 0.000
Cd 0.000 0.334 0.500
Cd 0.000 0.666 0.500
Cd 0.334 0.000 0.500
Cd 0.334 0.334 0.500
Cd 0.666 0.000 0.500
Cd 0.666 0.666 0.500

Computed properties:
DOS(E_F) in states/eV/atom: 0.71
Density in kg/m3: 9082
E_form in eV per atom: -0.29

(5)
First-principles (PBE-GGA) data for a relaxed Er8TmCd6 crystal, as listed in the Alexandria database.

Lattice parameters (Å, degrees): 8.149 8.149 8.149 66.06 66.06 66.06
Sites, in units of the cell vectors:
Er 0.051 0.385 0.718
Er 0.166 0.166 0.166
Er 0.282 0.949 0.615
Er 0.385 0.718 0.051
Er 0.615 0.282 0.949
Er 0.718 0.051 0.385
Er 0.834 0.834 0.834
Er 0.949 0.615 0.282
Tm 0.500 0.500 0.500
Cd 0.115 0.780 0.448
Cd 0.220 0.552 0.885
Cd 0.448 0.115 0.780
Cd 0.552 0.885 0.220
Cd 0.780 0.448 0.115
Cd 0.885 0.220 0.552

Computed properties:
DOS(E_F) in states/eV/atom: 1.16
Density in kg/m3: 8369
E_form in eV per atom: -0.06

(6)
First-principles (PBE-GGA) data for a relaxed Er2Tm5Cd crystal, as listed in the Alexandria database.

Lattice parameters (Å, degrees): 6.734 6.734 6.734 107.00 107.00 114.53
Sites, in units of the cell vectors:
Er 0.000 0.500 0.500
Er 0.500 0.000 0.500
Tm 0.069 0.069 0.000
Tm 0.531 0.531 0.553
Tm 0.531 0.979 0.000
Tm 0.979 0.531 0.000
Tm 0.979 0.979 0.447
Cd 0.490 0.490 0.000

Computed properties:
DOS(E_F) in states/eV/atom: 0.97
Density in kg/m3: 9176
E_form in eV per atom: 0.01